Record 1
A plane-wave DFT calculation with PBE was carried out for a geometry-optimized La2YZr structure.

- magnetic moment (μB/f.u.) = 0.00
- density (Mg/m³) = 6.07
- calculated formation energy (eV/atom) = 0.1482

Unit cell a=4.9905 b=4.9905 c=10.0582 alpha=90.00 beta=90.00 gamma=90.00
Space group I-4m2 (No. 119)
Asymmetric unit:
La 0.0000 0.0000 0.0000 (multiplicity 2)
La 0.0000 0.5000 0.2500 (multiplicity 2)
Y 0.0000 0.5000 0.7500 (multiplicity 2)
Zr 0.0000 0.0000 0.5000 (multiplicity 2)

=====

Record 2
A plane-wave DFT calculation with PBE was carried out for a geometry-optimized CaPmZnSi structure.

- magnetic moment (μB/f.u.) = 0.00
- final energy (Ry per atom) = -0.2744
- density (Mg/m³) = 4.92

Unit cell a=7.2203 b=7.2203 c=7.2203 alpha=90.00 beta=90.00 gamma=90.00
Space group F-43m (No. 216)
Asymmetric unit:
Ca 0.0000 0.0000 0.0000 (multiplicity 4)
Pm 0.0000 0.0000 0.5000 (multiplicity 4)
Zn 0.2500 0.2500 0.7500 (multiplicity 4)
Si 0.2500 0.2500 0.2500 (multiplicity 4)

=====

Record 3
A plane-wave DFT calculation with PBE was carried out for a geometry-optimized KTi2MnSe4 structure.

- magnetic moment (μB/f.u.) = 2.01
- final energy (Ry per atom) = -0.4378
- density (Mg/m³) = 4.16

Unit cell a=3.6236 b=15.6984 c=14.1864 alpha=90.00 beta=90.00 gamma=90.00
Space group Cmcm (No. 63)
Asymmetric unit:
K 0.0000 0.1765 0.2500 (multiplicity 4)
Ti 0.0000 0.4143 0.0972 (multiplicity 8)
Mn 0.0000 0.1125 0.7500 (multiplicity 4)
Se 0.0000 0.0000 0.0000 (multiplicity 4)
Se 0.0000 0.1997 0.6076 (multiplicity 8)
Se 0.0000 0.4961 0.2500 (multiplicity 4)